Record 1
# Ag2RuRh, relaxed, DFT GGA-PBEsol
data_Ag2RuRh
_symmetry_space_group_name_H-M 'C m m 2'
_symmetry_Int_Tables_number 35
_cell_length_a 2.7463
_cell_length_b 4.6409
_cell_length_c 9.4850
_cell_angle_alpha 90.00
_cell_angle_beta 90.00
_cell_angle_gamma 90.00
loop_
_symmetry_equiv_pos_as_xyz
'x,y,z'
'-x,-y,z'
'-x,y,z'
'x,-y,z'
'x+1/2,y+1/2,z'
'-x+1/2,-y+1/2,z'
'-x+1/2,y+1/2,z'
'x+1/2,-y+1/2,z'
loop_
_atom_site_label
_atom_site_type_symbol
_atom_site_fract_x
_atom_site_fract_y
_atom_site_fract_z
_atom_site_occupancy
Ag1 Ag 0.0000 0.0000 0.0000 1
Ag2 Ag 0.0000 0.5000 0.2604 1
Ru1 Ru 0.0000 0.0000 0.5176 1
Rh1 Rh 0.0000 0.5000 0.7445 1
# Total magnetization = 0.73 Bohr magnetons per cell
# Uncorrected energy = -5.87 eV per atom
# Formation energy from the elements = 358 meV/atom
# DOS(E_F) = 8.540 states/eV/cell
# Mass density = 11.530 g cm⁻³


Record 2
# ZnRh2Au, relaxed, DFT GGA-PBEsol
data_ZnRh2Au
_symmetry_space_group_name_H-M 'P m m m'
_symmetry_Int_Tables_number 47
_cell_length_a 2.7673
_cell_length_b 4.5530
_cell_length_c 4.5567
_cell_angle_alpha 90.00
_cell_angle_beta 90.00
_cell_angle_gamma 90.00
loop_
_symmetry_equiv_pos_as_xyz
'x,y,z'
'-x,-y,-z'
'-x,-y,z'
'x,y,-z'
'x,-y,-z'
'-x,y,z'
'-x,y,-z'
'x,-y,z'
loop_
_atom_site_label
_atom_site_type_symbol
_atom_site_fract_x
_atom_site_fract_y
_atom_site_fract_z
_atom_site_occupancy
Zn1 Zn 0.0000 0.0000 0.0000 1
Rh1 Rh 0.0000 0.5000 0.5000 1
Rh2 Rh 0.5000 0.5000 0.0000 1
Au1 Au 0.5000 0.0000 0.5000 1
# Total magnetization = 0.00 Bohr magnetons per cell
# Uncorrected energy = -5.45 eV per atom
# Formation energy from the elements = -4 meV/atom
# DOS(E_F) = 3.875 states/eV/cell
# Mass density = 13.541 g cm⁻³


Record 3
# NaCdPdBr2, relaxed, DFT GGA-PBEsol
data_NaCdPdBr2
_symmetry_space_group_name_H-M 'P 4/m m m'
_symmetry_Int_Tables_number 123
_symmetry_space_group_name_Hall '-P 4 2'
_cell_length_a 5.0385
_cell_length_b 5.0385
_cell_length_c 5.4560
_cell_angle_alpha 90.00
_cell_angle_beta 90.00
_cell_angle_gamma 90.00
loop_
_atom_site_label
_atom_site_type_symbol
_atom_site_fract_x
_atom_site_fract_y
_atom_site_fract_z
_atom_site_occupancy
Na1 Na 0.0000 0.0000 0.0000 1
Cd1 Cd 0.5000 0.5000 0.0000 1
Pd1 Pd 0.0000 0.0000 0.5000 1
Br1 Br 0.0000 0.5000 0.5000 1
# Total magnetization = 0.00 Bohr magnetons per cell
# Uncorrected energy = -2.69 eV per atom
# DOS(E_F) = 2.876 states/eV/cell
# Mass density = 4.815 g cm⁻³


Record 4
# Ca4Y, relaxed, DFT GGA-PBEsol
data_Ca4Y
_symmetry_space_group_name_H-M 'I m -3 m'
_symmetry_Int_Tables_number 229
_symmetry_space_group_name_Hall '-I 4 2 3'
_cell_length_a 7.7750
_cell_length_b 7.7750
_cell_length_c 7.7750
_cell_angle_alpha 90.00
_cell_angle_beta 90.00
_cell_angle_gamma 90.00
loop_
_atom_site_label
_atom_site_type_symbol
_atom_site_fract_x
_atom_site_fract_y
_atom_site_fract_z
_atom_site_occupancy
Ca1 Ca 0.2500 0.2500 0.2500 1
Y1 Y 0.0000 0.0000 0.0000 1
# Total magnetization = 2.15 Bohr magnetons per cell
# Uncorrected energy = -2.48 eV per atom
# Formation energy from the elements = 589 meV/atom
# DOS(E_F) = 17.371 states/eV/cell
# Mass density = 1.761 g cm⁻³


Record 5
# LaAlSb2, relaxed, DFT GGA-PBEsol
data_LaAlSb2
_symmetry_space_group_name_H-M 'F -4 3 m'
_symmetry_Int_Tables_number 216
_symmetry_space_group_name_Hall 'F -4 2 3'
_cell_length_a 7.5044
_cell_length_b 7.5044
_cell_length_c 7.5044
_cell_angle_alpha 90.00
_cell_angle_beta 90.00
_cell_angle_gamma 90.00
loop_
_atom_site_label
_atom_site_type_symbol
_atom_site_fract_x
_atom_site_fract_y
_atom_site_fract_z
_atom_site_occupancy
La1 La 0.0000 0.0000 0.0000 1
Al1 Al 0.2500 0.2500 0.2500 1
Sb1 Sb 0.0000 0.0000 0.5000 1
Sb2 Sb 0.2500 0.2500 0.7500 1
# Total magnetization = 0.00 Bohr magnetons per cell
# Uncorrected energy = -4.86 eV per atom
# DOS(E_F) = 9.998 states/eV/cell
# Mass density = 6.434 g cm⁻³


Record 6
# CsTl3P, relaxed, DFT GGA-PBEsol
data_CsTl3P
_symmetry_space_group_name_H-M 'P m -3 m'
_symmetry_Int_Tables_number 221
_symmetry_space_group_name_Hall '-P 4 2 3'
_cell_length_a 5.5487
_cell_length_b 5.5487
_cell_length_c 5.5487
_cell_angle_alpha 90.00
_cell_angle_beta 90.00
_cell_angle_gamma 90.00
loop_
_atom_site_label
_atom_site_type_symbol
_atom_site_fract_x
_atom_site_fract_y
_atom_site_fract_z
_atom_site_occupancy
Cs1 Cs 0.0000 0.0000 0.0000 1
Tl1 Tl 0.0000 0.5000 0.5000 1
P1 P 0.5000 0.5000 0.5000 1
# Total magnetization = 0.00 Bohr magnetons per cell
# Uncorrected energy = -2.72 eV per atom
# Formation energy from the elements = 207 meV/atom
# DOS(E_F) = 2.363 states/eV/cell
# Mass density = 7.553 g cm⁻³


Record 7
# InSi3Ag, relaxed, DFT GGA-PBEsol
data_InSi3Ag
_symmetry_space_group_name_H-M 'P m -3 m'
_symmetry_Int_Tables_number 221
_symmetry_space_group_name_Hall '-P 4 2 3'
_cell_length_a 5.0200
_cell_length_b 5.0200
_cell_length_c 5.0200
_cell_angle_alpha 90.00
_cell_angle_beta 90.00
_cell_angle_gamma 90.00
loop_
_atom_site_label
_atom_site_type_symbol
_atom_site_fract_x
_atom_site_fract_y
_atom_site_fract_z
_atom_site_occupancy
In1 In 0.0000 0.0000 0.0000 1
Si1 Si 0.0000 0.0000 0.5000 1
Ag1 Ag 0.5000 0.5000 0.5000 1
# Total magnetization = 0.00 Bohr magnetons per cell
# Uncorrected energy = -3.30 eV per atom
# DOS(E_F) = 2.825 states/eV/cell
# Mass density = 4.029 g cm⁻³


Record 8
# LiMg2Zn, relaxed, DFT GGA-PBEsol
data_LiMg2Zn
_symmetry_space_group_name_H-M 'F -4 3 m'
_symmetry_Int_Tables_number 216
_symmetry_space_group_name_Hall 'F -4 2 3'
_cell_length_a 6.5993
_cell_length_b 6.5993
_cell_length_c 6.5993
_cell_angle_alpha 90.00
_cell_angle_beta 90.00
_cell_angle_gamma 90.00
loop_
_atom_site_label
_atom_site_type_symbol
_atom_site_fract_x
_atom_site_fract_y
_atom_site_fract_z
_atom_site_occupancy
Li1 Li 0.0000 0.0000 0.0000 1
Mg1 Mg 0.0000 0.0000 0.5000 1
Mg2 Mg 0.2500 0.2500 0.2500 1
Zn1 Zn 0.2500 0.2500 0.7500 1
# Total magnetization = 0.00 Bohr magnetons per cell
# Uncorrected energy = -1.80 eV per atom
# Formation energy from the elements = -50 meV/atom
# DOS(E_F) = 4.661 states/eV/cell
# Mass density = 2.795 g cm⁻³


Record 9
# NiBr2N, relaxed, DFT GGA-PBEsol
data_NiBr2N
_symmetry_space_group_name_H-M 'R -3 m'
_symmetry_Int_Tables_number 166
_symmetry_space_group_name_Hall '-R 3 2"'
_cell_length_a 3.5414
_cell_length_b 3.5414
_cell_length_c 21.8221
_cell_angle_alpha 90.00
_cell_angle_beta 90.00
_cell_angle_gamma 120.00
loop_
_atom_site_label
_atom_site_type_symbol
_atom_site_fract_x
_atom_site_fract_y
_atom_site_fract_z
_atom_site_occupancy
Ni1 Ni 0.0000 0.0000 0.0000 1
Br1 Br 0.0000 0.0000 0.0990 1
N1 N 0.0000 0.0000 0.5000 1
# Total magnetization = 3.00 Bohr magnetons per cell
# Uncorrected energy = -3.21 eV per atom
# DOS(E_F) = 8.892 states/eV/cell
# Mass density = 4.887 g cm⁻³


Record 10
# NaInBr4, relaxed, DFT GGA-PBEsol
data_NaInBr4
_symmetry_space_group_name_H-M 'P 21 21 21'
_symmetry_Int_Tables_number 19
_cell_length_a 6.7058
_cell_length_b 10.3412
_cell_length_c 10.9337
_cell_angle_alpha 90.00
_cell_angle_beta 90.00
_cell_angle_gamma 90.00
loop_
_symmetry_equiv_pos_as_xyz
'x,y,z'
'-x+1/2,-y,z+1/2'
'x+1/2,-y+1/2,-z'
'-x,y+1/2,-z+1/2'
loop_
_atom_site_label
_atom_site_type_symbol
_atom_site_fract_x
_atom_site_fract_y
_atom_site_fract_z
_atom_site_occupancy
Na1 Na 0.0598 0.0312 0.1407 1
In1 In 0.0297 0.7408 0.7849 1
Br1 Br 0.1443 0.5478 0.9063 1
Br2 Br 0.1535 0.7528 0.2099 1
Br3 Br 0.1801 0.9435 0.8791 1
Br4 Br 0.1860 0.7405 0.5751 1
# Total magnetization = 0.00 Bohr magnetons per cell
# Uncorrected energy = -3.01 eV per atom
# DOS(E_F) = 0.000 states/eV/cell
# Mass density = 4.007 g cm⁻³